# 1
An optimized crystal structure of HfGe2Te, computed with PBE.

DFT total energy	-5.183	eV/atom
symmetry	No. 122

Lattice parameters (Å, degrees): 6.242 6.242 7.796 66.40 66.40 90.00
Fractional positions:
Ge (0.646, 0.125, 0.250)
Ge (0.104, 0.625, 0.250)
Ge (0.375, 0.354, 0.750)
Ge (0.875, 0.896, 0.750)
Te (0.500, 0.500, 0.000)
Te (0.250, 0.750, 0.500)
Hf (0.000, 0.000, 0.000)
Hf (0.750, 0.250, 0.500)


# 2
An optimized crystal structure of SrSiS3, computed with PBE.

energy above the most stable polymorph in this dataset	0.006	eV/atom
symmetry	No. 14

Lattice parameters (Å, degrees): 6.685 8.073 10.925 90.00 100.25 90.00
Fractional positions:
Sr (0.993, 0.667, 0.299)
Sr (0.507, 0.167, 0.201)
Sr (0.007, 0.333, 0.701)
Sr (0.493, 0.833, 0.799)
Si (0.493, 0.607, 0.106)
Si (0.007, 0.107, 0.394)
Si (0.507, 0.393, 0.894)
Si (0.993, 0.893, 0.606)
S (0.141, 0.666, 0.601)
S (0.359, 0.166, 0.899)
S (0.859, 0.334, 0.399)
S (0.641, 0.834, 0.101)
S (0.887, 0.974, 0.763)
S (0.613, 0.474, 0.737)
S (0.113, 0.026, 0.237)
S (0.387, 0.526, 0.263)
S (0.777, 0.923, 0.432)
S (0.723, 0.423, 0.068)
S (0.223, 0.077, 0.568)
S (0.277, 0.577, 0.932)


# 3
An optimized crystal structure of AcHo2Tl3Se6, computed with PBE.

DFT total energy	-4.831	eV/atom
symmetry	No. 12

Lattice parameters (Å, degrees): 7.455 7.455 8.143 98.78 98.78 119.90
Fractional positions:
Ac (0.000, 0.000, 0.000)
Ho (0.333, 0.667, 0.000)
Ho (0.667, 0.333, 0.000)
Tl (0.163, 0.837, 0.500)
Tl (0.837, 0.163, 0.500)
Tl (0.500, 0.500, 0.500)
Se (0.930, 0.576, 0.791)
Se (0.714, 0.714, 0.205)
Se (0.070, 0.424, 0.209)
Se (0.576, 0.930, 0.791)
Se (0.286, 0.286, 0.795)
Se (0.424, 0.070, 0.209)


# 4
An optimized crystal structure of Na2PaVSe4, computed with PBE.

DFT total energy	-5.518	eV/atom
symmetry	No. 10

Lattice parameters (Å, degrees): 4.029 6.731 7.468 108.15 90.00 90.00
Each line ends with the local moment (μB).
Fractional positions:
Na (0.500, 0.000, 0.500)  0.00
Na (0.000, 0.500, 0.500)  0.00
Pa (0.000, 0.000, 0.000)  1.13
V (0.500, 0.500, 0.000)  2.44
Se (0.500, 0.261, 0.231)  -0.04
Se (0.500, 0.739, 0.769)  -0.04
Se (0.000, 0.279, 0.786)  -0.05
Se (0.000, 0.721, 0.214)  -0.05


# 5
An optimized crystal structure of Pm12Dy5In2, computed with PBE.

symmetry	No. 12
formation energy from the elements	-0.0118	eV/atom

Lattice parameters (Å, degrees): 9.346 9.058 8.587 92.71 90.00 121.06
Fractional positions:
Pm (0.918, 0.837, 0.115)
Pm (0.037, 0.703, 0.765)
Pm (0.666, 0.703, 0.765)
Pm (0.181, 0.751, 0.336)
Pm (0.570, 0.751, 0.336)
Pm (0.443, 0.887, 0.676)
Pm (0.557, 0.113, 0.324)
Pm (0.819, 0.249, 0.664)
Pm (0.430, 0.249, 0.664)
Pm (0.963, 0.297, 0.235)
Pm (0.334, 0.297, 0.235)
Pm (0.082, 0.163, 0.885)
Dy (0.232, 0.464, 0.582)
Dy (0.311, 0.623, 0.989)
Dy (0.000, 0.000, 0.500)
Dy (0.689, 0.377, 0.011)
Dy (0.768, 0.536, 0.418)
In (0.676, 0.000, 0.000)
In (0.324, 0.000, 0.000)


# 6
An optimized crystal structure of Tl5Hg2Au4, computed with PBE.

symmetry	No. 12
formation energy from the elements	0.0220	eV/atom

Lattice parameters (Å, degrees): 3.837 7.756 10.821 108.65 100.21 90.00
Fractional positions:
Tl (0.832, 0.592, 0.664)
Tl (0.168, 0.408, 0.336)
Tl (0.839, 0.046, 0.678)
Tl (0.500, 0.000, 0.000)
Tl (0.161, 0.954, 0.322)
Hg (0.427, 0.374, 0.854)
Hg (0.573, 0.626, 0.146)
Au (0.283, 0.274, 0.567)
Au (0.976, 0.691, 0.952)
Au (0.717, 0.726, 0.433)
Au (0.024, 0.309, 0.048)


# 7
An optimized crystal structure of CaAcTbDy, computed with PBE.

symmetry	No. 216
formation energy from the elements	0.1292	eV/atom

Lattice parameters (Å, degrees): 5.933 5.933 5.933 60.00 60.00 60.00
Fractional positions:
Ac (0.000, 0.000, 0.000)
Tb (0.500, 0.500, 0.500)
Ca (0.750, 0.750, 0.750)
Dy (0.250, 0.250, 0.250)


# 8
An optimized crystal structure of Li3SiCl6, computed with PBE.

DFT total energy	-3.588	eV/atom
symmetry	No. 2

Lattice parameters (Å, degrees): 6.463 6.983 9.331 82.01 91.70 92.39
Fractional positions:
Li (0.489, 0.877, 0.688)
Li (0.500, 0.500, 0.000)
Li (0.511, 0.123, 0.312)
Li (0.971, 0.624, 0.313)
Li (0.000, 0.000, 0.500)
Li (0.029, 0.376, 0.687)
Si (0.500, 0.500, 0.500)
Si (0.000, 0.000, 0.000)
Cl (0.856, 0.280, 0.927)
Cl (0.674, 0.160, 0.565)
Cl (0.634, 0.467, 0.242)
Cl (0.366, 0.533, 0.758)
Cl (0.326, 0.840, 0.435)
Cl (0.144, 0.720, 0.073)
Cl (0.155, 0.331, 0.434)
Cl (0.279, 0.159, 0.081)
Cl (0.150, 0.021, 0.779)
Cl (0.850, 0.979, 0.221)
Cl (0.721, 0.841, 0.919)
Cl (0.845, 0.669, 0.566)


# 9
An optimized crystal structure of BeNbRh, computed with PBE.

energy above the most stable polymorph in this dataset	0.366	eV/atom
symmetry	No. 160
formation energy from the elements	-0.1098	eV/atom

Lattice parameters (Å, degrees): 2.849 2.849 6.185 76.68 76.68 60.00
Fractional positions:
Nb (0.333, 0.333, 0.002)
Rh (0.539, 0.539, 0.384)
Be (0.114, 0.114, 0.657)


# 10
An optimized crystal structure of SrHf2Ti2, computed with PBE.

energy above the most stable polymorph in this dataset	0.031	eV/atom
symmetry	No. 127
formation energy from the elements	0.3640	eV/atom

Lattice parameters (Å, degrees): 8.641 8.641 3.217 90.00 90.00 90.00
Fractional positions:
Sr (0.000, 0.000, 0.000)
Sr (0.500, 0.500, 0.000)
Hf (0.378, 0.878, 0.000)
Hf (0.878, 0.622, 0.000)
Hf (0.622, 0.122, 0.000)
Hf (0.122, 0.378, 0.000)
Ti (0.164, 0.664, 0.500)
Ti (0.664, 0.836, 0.500)
Ti (0.836, 0.336, 0.500)
Ti (0.336, 0.164, 0.500)


# 11
An optimized crystal structure of Li7Pd2Au, computed with PBE.

symmetry	No. 156
formation energy from the elements	-0.2863	eV/atom

Lattice parameters (Å, degrees): 4.337 4.337 9.457 90.00 90.00 120.00
Fractional positions:
Li (0.667, 0.333, 0.579)
Li (0.667, 0.333, 0.832)
Li (0.000, 0.000, 0.667)
Li (0.000, 0.000, 0.267)
Li (0.333, 0.667, 0.442)
Li (0.333, 0.667, 0.115)
Li (0.667, 0.333, 0.071)
Pd (0.333, 0.667, 0.767)
Pd (0.667, 0.333, 0.323)
Au (0.000, 0.000, 0.954)


# 12
An optimized crystal structure of AlSn3Mo, computed with PBE.

energy above the most stable polymorph in this dataset	0.615	eV/atom
symmetry	No. 221
formation energy from the elements	1.1089	eV/atom

Lattice parameters (Å, degrees): 5.206 5.206 5.206 90.00 90.00 90.00
Each line ends with the local moment (μB).
Fractional positions:
Mo (0.500, 0.500, 0.500)  3.44
Sn (0.000, 0.500, 0.000)  -0.06
Sn (0.000, 0.000, 0.500)  -0.03
Sn (0.500, 0.000, 0.000)  -0.06
Al (0.000, 0.000, 0.000)  0.01


# 13
An optimized crystal structure of SmAlGeO5, computed with PBE.

DFT total energy	-7.407	eV/atom
symmetry	No. 15

Lattice parameters (Å, degrees): 5.542 5.542 6.911 102.89 102.89 106.30
Fractional positions:
Sm (0.323, 0.677, 0.250)
Sm (0.677, 0.323, 0.750)
Al (0.000, 0.000, 0.500)
Al (0.000, 0.000, 0.000)
Ge (0.680, 0.320, 0.250)
Ge (0.320, 0.680, 0.750)
O (0.068, 0.932, 0.250)
O (0.932, 0.068, 0.750)
O (0.901, 0.313, 0.101)
O (0.099, 0.687, 0.899)
O (0.687, 0.099, 0.399)
O (0.313, 0.901, 0.601)
O (0.745, 0.629, 0.432)
O (0.255, 0.371, 0.568)
O (0.371, 0.255, 0.068)
O (0.629, 0.745, 0.932)


# 14
An optimized crystal structure of Zr2CuBr, computed with PBE.

energy above the most stable polymorph in this dataset	0.011	eV/atom
symmetry	No. 12

Lattice parameters (Å, degrees): 3.892 3.892 6.889 73.53 73.53 60.02
Fractional positions:
Br (0.750, 0.750, 0.750)
Cu (0.250, 0.250, 0.250)
Zr (0.984, 0.984, 0.050)
Zr (0.516, 0.516, 0.450)


# 15
An optimized crystal structure of SiAgAu4, computed with PBE.

energy above the most stable polymorph in this dataset	0.054	eV/atom
symmetry	No. 12

Lattice parameters (Å, degrees): 4.765 6.771 8.801 123.40 90.00 110.60
Fractional positions:
Si (0.500, 0.500, 0.000)
Si (0.000, 0.500, 0.500)
Ag (0.250, 0.000, 0.250)
Ag (0.750, 0.000, 0.750)
Au (0.982, 0.463, 0.147)
Au (0.518, 0.537, 0.353)
Au (0.018, 0.537, 0.853)
Au (0.482, 0.463, 0.647)
Au (0.216, 0.931, 0.555)
Au (0.284, 0.069, 0.945)
Au (0.784, 0.069, 0.445)
Au (0.716, 0.931, 0.055)


# 16
An optimized crystal structure of Pm2PdPbO5, computed with PBE.

DFT total energy	-6.958	eV/atom
symmetry	No. 127

Lattice parameters (Å, degrees): 5.891 6.731 6.731 90.00 90.00 90.00
Fractional positions:
Pm (0.500, 0.673, 0.173)
Pm (0.500, 0.173, 0.327)
Pm (0.500, 0.827, 0.673)
Pm (0.500, 0.327, 0.827)
Pd (0.000, 0.000, 0.500)
Pd (0.000, 0.500, 0.000)
Pb (0.000, 0.500, 0.500)
Pb (0.000, 0.000, 0.000)
O (0.500, 0.500, 0.500)
O (0.500, 0.000, 0.000)
O (0.254, 0.141, 0.641)
O (0.254, 0.859, 0.359)
O (0.254, 0.359, 0.141)
O (0.254, 0.641, 0.859)
O (0.746, 0.141, 0.641)
O (0.746, 0.641, 0.859)
O (0.746, 0.859, 0.359)
O (0.746, 0.359, 0.141)


# 17
An optimized crystal structure of CdCo2Ge2, computed with PBE.

symmetry	No. 127
formation energy from the elements	0.0694	eV/atom

Lattice parameters (Å, degrees): 7.167 7.167 2.766 90.00 90.00 90.00
Fractional positions:
Ge (0.357, 0.857, 0.000)
Ge (0.857, 0.643, 0.000)
Ge (0.643, 0.143, 0.000)
Ge (0.143, 0.357, 0.000)
Co (0.147, 0.647, 0.500)
Co (0.647, 0.853, 0.500)
Co (0.853, 0.353, 0.500)
Co (0.353, 0.147, 0.500)
Cd (0.000, 0.000, 0.000)
Cd (0.500, 0.500, 0.000)


# 18
An optimized crystal structure of TbTh2TlC, computed with PBE.

symmetry	No. 123
formation energy from the elements	-0.2956	eV/atom

Lattice parameters (Å, degrees): 5.021 5.074 5.074 90.00 90.00 90.00
Fractional positions:
Tb (0.500, 0.000, 0.000)
Th (0.000, 0.000, 0.500)
Th (0.000, 0.500, 0.000)
Tl (0.500, 0.500, 0.500)
C (0.000, 0.000, 0.000)


# 19
An optimized crystal structure of BaVZn, computed with PBE.

energy above the most stable polymorph in this dataset	0.209	eV/atom
symmetry	No. 38
formation energy from the elements	0.4965	eV/atom

Lattice parameters (Å, degrees): 3.432 3.917 11.712 90.00 90.00 90.00
Each line ends with the local moment (μB).
Fractional positions:
Zn (0.500, 0.000, 0.427)  0.01
Zn (0.500, 0.500, 0.927)  0.01
Ba (0.000, 0.000, 0.703)  0.01
Ba (0.000, 0.500, 0.203)  0.01
V (0.000, 0.000, 0.974)  2.36
V (0.000, 0.500, 0.474)  2.36


# 20
An optimized crystal structure of ZnCr2Cl, computed with PBE.

energy above the most stable polymorph in this dataset	0.416	eV/atom
symmetry	No. 65

Lattice parameters (Å, degrees): 4.758 4.758 3.046 90.00 90.00 98.99
Each line ends with the local moment (μB).
Fractional positions:
Cr (0.000, 0.000, 0.000)  3.73
Cr (0.500, 0.500, 0.000)  3.73
Zn (0.500, 0.000, 0.500)  -0.04
Cl (0.000, 0.500, 0.500)  0.02


# 21
An optimized crystal structure of SrZnHg2, computed with PBE.

symmetry	No. 6
formation energy from the elements	-0.2490	eV/atom

Lattice parameters (Å, degrees): 4.934 3.994 5.686 89.83 90.00 90.00
Fractional positions:
Hg (0.000, 0.999, 0.975)
Hg (0.500, 0.002, 0.269)
Sr (0.000, 0.500, 0.493)
Zn (0.500, 0.998, 0.762)


# 22
An optimized crystal structure of LaPm3Al, computed with PBE.

energy above the most stable polymorph in this dataset	0.547	eV/atom
symmetry	No. 51
formation energy from the elements	0.4306	eV/atom

Lattice parameters (Å, degrees): 3.331 6.262 23.250 90.00 90.00 90.00
Fractional positions:
La (0.500, 0.250, 0.271)
La (0.500, 0.750, 0.729)
Pm (0.500, 0.510, 0.146)
Pm (0.500, 0.000, 0.000)
Pm (0.500, 0.990, 0.146)
Pm (0.500, 0.490, 0.854)
Pm (0.500, 0.500, 0.000)
Pm (0.500, 0.010, 0.854)
Al (0.000, 0.250, 0.756)
Al (0.000, 0.750, 0.244)


Record order is preserved below.
Total magnetization: 0.00; 0.00; 0.00; 4.03; 0.00; 0.00; 0.00; 0.00; 0.00; 0.00; 0.00; 3.95; 0.00; 0.00; 0.00; 0.00; 0.00; 0.00; 2.72; 8.27; 0.00; 0.00 μB per formula unit